A relaxed structure of SrLiRu2O8. Source: Alexandria via LeMat-Bulk, functional GGA-PBE.

Output
- Space-group type: No. 12
- Electronic total energy: -77.56 eV/cell
- DOS at the Fermi energy: 9.3 states/eV per cell
- Raw formation energy: -1.312 eV per atom

Cell lengths 5.371, 5.371, 7.408 Å; angles 91.62, 91.62, 66.99 degrees
Sites, in units of the cell vectors:
Sr (0.000, 0.000, 0.000)
Li (0.000, 0.000, 0.500)
Ru (0.363, 0.363, 0.724)
Ru (0.637, 0.637, 0.276)
O (0.226, 0.724, 0.720)
O (0.230, 0.230, 0.547)
O (0.276, 0.774, 0.280)
O (0.277, 0.277, 0.938)
O (0.723, 0.723, 0.062)
O (0.724, 0.226, 0.720)
O (0.770, 0.770, 0.453)
O (0.774, 0.276, 0.280)

A relaxed structure of PuPaGaCu. Source: Alexandria via LeMat-Bulk, functional GGA-PBE.

Output
- Space-group type: No. 216
- Electronic total energy: -30.97 eV/cell
- DOS at the Fermi energy: 9.0 states/eV per cell

Cell lengths 4.957, 4.957, 4.957 Å; angles 60.00, 60.00, 60.00 degrees
Sites, in units of the cell vectors:
Pu (0.000, 0.000, 0.000)
Pa (0.500, 0.500, 0.500)
Ga (0.250, 0.250, 0.250)
Cu (0.750, 0.750, 0.750)

A relaxed structure of Hf2TiMo2. Source: Alexandria via LeMat-Bulk, functional GGA-PBE.

Output
- Space-group type: No. 127
- Electronic total energy: -97.10 eV/cell
- DOS at the Fermi energy: 9.4 states/eV per cell

Cell lengths 6.752, 6.752, 4.216 Å; angles 90.00, 90.00, 90.00 degrees
Sites, in units of the cell vectors:
Hf (0.171, 0.329, 0.000)
Hf (0.329, 0.829, 0.000)
Hf (0.671, 0.171, 0.000)
Hf (0.829, 0.671, 0.000)
Ti (0.000, 0.000, 0.500)
Ti (0.500, 0.500, 0.500)
Mo (0.140, 0.640, 0.500)
Mo (0.360, 0.140, 0.500)
Mo (0.640, 0.860, 0.500)
Mo (0.860, 0.360, 0.500)

A relaxed structure of SmDy6Sc3. Source: Alexandria via LeMat-Bulk, functional GGA-PBE.

Output
- Space-group type: No. 146
- Electronic total energy: -49.44 eV/cell
- DOS at the Fermi energy: 18.5 states/eV per cell
- Energy above the most stable polymorph in this dataset: 23.9 meV/atom

Cell lengths 6.708, 6.708, 6.708 Å; angles 91.46, 91.46, 91.46 degrees
Sites, in units of the cell vectors:
Sm (0.000, 0.000, 0.000)
Dy (0.163, 0.835, 0.499)
Dy (0.340, 0.659, 0.999)
Dy (0.499, 0.163, 0.835)
Dy (0.659, 0.999, 0.340)
Dy (0.835, 0.499, 0.163)
Dy (0.999, 0.340, 0.659)
Sc (0.260, 0.260, 0.260)
Sc (0.500, 0.500, 0.500)
Sc (0.741, 0.741, 0.741)